(1)
! ZnMoH2, relaxed, DFT PBE; values from VASP
&SYSTEM
  ibrav = 0, nat = 4, ntyp = 3
/
ATOMIC_SPECIES
Zn 65.41 Zn.upf
Mo 95.94 Mo.upf
H 1.01 H.upf
CELL_PARAMETERS angstrom
0.0000 2.6178 2.6178
2.6178 0.0000 2.6178
2.6178 2.6178 0.0000
ATOMIC_POSITIONS angstrom
Zn 0.0000 0.0000 0.0000
Mo 2.6178 2.6178 2.6178
H 1.3089 1.3089 1.3089
H 3.9267 3.9267 3.9267
! Uncorrected energy (eV per atom): -4.052
! Symmetry: Fm-3m, No. 225
! Distance to the lowest polymorph of the same formula (meV per atom): 486
! Magnetic moment (μB/cell): 1.26

=====

(2)
! Zr3MoH, relaxed, DFT PBE; values from VASP
&SYSTEM
  ibrav = 0, nat = 5, ntyp = 3
/
ATOMIC_SPECIES
Zr 91.22 Zr.upf
Mo 95.94 Mo.upf
H 1.01 H.upf
CELL_PARAMETERS angstrom
4.4160 0.0000 0.0000
0.0000 4.4160 0.0000
0.0000 0.0000 4.4160
ATOMIC_POSITIONS angstrom
Zr 0.0000 0.0000 2.2080
Zr 0.0000 2.2080 0.0000
Zr 2.2080 0.0000 0.0000
Mo 2.2080 2.2080 2.2080
H 0.0000 0.0000 0.0000
! Uncorrected energy (eV per atom): -7.907
! Symmetry: Pm-3m, No. 221
! Distance to the lowest polymorph of the same formula (meV per atom): 0
! Magnetic moment (μB/cell): 0.00

=====

(3)
! Zr2MoH, relaxed, DFT PBE; values from VASP
&SYSTEM
  ibrav = 0, nat = 4, ntyp = 3
/
ATOMIC_SPECIES
Zr 91.22 Zr.upf
Mo 95.94 Mo.upf
H 1.01 H.upf
CELL_PARAMETERS angstrom
1.6403 0.9470 6.8360
-1.6403 0.9470 6.8360
0.0000 -1.8941 6.8360
ATOMIC_POSITIONS angstrom
Zr 0.0000 0.0000 4.8045
Zr 0.0000 0.0000 15.7034
Mo 0.0000 0.0000 0.0000
H 0.0000 0.0000 10.2540
! Uncorrected energy (eV per atom): -7.821
! Symmetry: R-3m, No. 166
! Distance to the lowest polymorph of the same formula (meV per atom): 0
! Magnetic moment (μB/cell): 0.00

=====

(4)
! ZrMoH3, relaxed, DFT PBE; values from VASP
&SYSTEM
  ibrav = 0, nat = 5, ntyp = 3
/
ATOMIC_SPECIES
Zr 91.22 Zr.upf
Mo 95.94 Mo.upf
H 1.01 H.upf
CELL_PARAMETERS angstrom
3.5846 0.0000 0.0000
0.0000 3.5846 0.0000
0.0000 0.0000 3.5846
ATOMIC_POSITIONS angstrom
Zr 0.0000 0.0000 0.0000
Mo 1.7923 1.7923 1.7923
H 0.0000 1.7923 1.7923
H 1.7923 0.0000 1.7923
H 1.7923 1.7923 0.0000
! Uncorrected energy (eV per atom): -5.979
! Symmetry: Pm-3m, No. 221
! Distance to the lowest polymorph of the same formula (meV per atom): 51
! Magnetic moment (μB/cell): 0.00

=====

(5)
! ZrMoH3, relaxed, DFT PBE; values from VASP
&SYSTEM
  ibrav = 0, nat = 20, ntyp = 3
/
ATOMIC_SPECIES
Zr 91.22 Zr.upf
Mo 95.94 Mo.upf
H 1.01 H.upf
CELL_PARAMETERS angstrom
3.8602 -4.5657 0.0000
3.8602 4.5657 0.0000
-1.7211 0.0000 5.3770
ATOMIC_POSITIONS angstrom
Zr 2.5694 3.6380 4.0328
Zr 3.4300 1.5743 1.3443
Zr 2.5694 -1.5743 4.0328
Zr 3.4300 -3.6380 1.3443
Mo 1.2618 1.0679 3.6408
Mo 2.1223 -1.0679 0.9523
Mo 3.8771 1.0679 4.4247
Mo 4.7376 -1.0679 1.7362
H 2.7309 3.5684 1.9921
H 0.9952 2.4455 4.7699
H 4.1290 3.5684 0.6964
H 0.5049 0.4890 5.2831
H 1.3654 -0.4890 2.5945
H 4.1436 2.4455 3.2956
H 1.8558 -2.4455 2.0814
H 4.6339 0.4890 2.7825
H 5.4945 -0.4890 0.0940
H 1.8704 -3.5684 4.6806
H 5.0041 -2.4455 0.6071
H 3.2684 -3.5684 3.3849
! Uncorrected energy (eV per atom): -6.030
! Symmetry: C2/c, No. 15
! Distance to the lowest polymorph of the same formula (meV per atom): 0
! Magnetic moment (μB/cell): 0.00

=====

(6)
! Zr5Mo2H12, relaxed, DFT PBE; values from VASP
&SYSTEM
  ibrav = 0, nat = 19, ntyp = 3
/
ATOMIC_SPECIES
Zr 91.22 Zr.upf
Mo 95.94 Mo.upf
H 1.01 H.upf
CELL_PARAMETERS angstrom
5.1456 -2.7685 0.0000
5.1456 2.7685 0.0000
-1.4535 0.0000 6.4631
ATOMIC_POSITIONS angstrom
Zr 0.0000 0.0000 0.0000
Zr 1.9858 0.0000 4.2982
Zr 3.2328 0.0000 0.8789
Zr 5.6048 0.0000 5.5842
Zr 6.8517 0.0000 2.1649
Mo 4.4188 1.4702 3.2315
Mo 4.4188 -1.4702 3.2315
H 0.0810 0.0000 2.1590
H 2.1199 1.4433 5.8603
H 2.7116 1.0963 2.6059
H 6.7176 1.4433 0.6028
H 6.1260 1.0963 3.8572
H 3.9867 0.0000 4.3764
H 4.8508 0.0000 2.0867
H 2.7116 -1.0963 2.6059
H 2.1199 -1.4433 5.8603
H 6.1260 -1.0963 3.8572
H 6.7176 -1.4433 0.6028
H 8.7566 0.0000 4.3040
! Uncorrected energy (eV per atom): -5.806
! Symmetry: C2/m, No. 12
! Magnetic moment (μB/cell): 0.00

=====

(7)
! Zr2MoH2, relaxed, DFT PBE; values from VASP
&SYSTEM
  ibrav = 0, nat = 5, ntyp = 3
/
ATOMIC_SPECIES
Zr 91.22 Zr.upf
Mo 95.94 Mo.upf
H 1.01 H.upf
CELL_PARAMETERS angstrom
-1.6823 1.6823 5.8517
1.6823 -1.6823 5.8517
1.6823 1.6823 -5.8517
ATOMIC_POSITIONS angstrom
Zr 0.0000 0.0000 1.6484
Zr 0.0000 0.0000 10.0550
Mo 0.0000 0.0000 5.8517
H 1.6823 0.0000 2.9258
H 0.0000 1.6823 2.9258
! Uncorrected energy (eV per atom): -7.223
! Symmetry: I4/mmm, No. 139
! Magnetic moment (μB/cell): 0.00

=====

(8)
! Zr2MoH, relaxed, DFT PBE; values from VASP
&SYSTEM
  ibrav = 0, nat = 8, ntyp = 3
/
ATOMIC_SPECIES
Zr 91.22 Zr.upf
Mo 95.94 Mo.upf
H 1.01 H.upf
CELL_PARAMETERS angstrom
-3.1498 3.1498 3.3208
3.1498 -3.1498 3.3208
3.1498 3.1498 -3.3208
ATOMIC_POSITIONS angstrom
Zr 4.7247 1.0647 -0.8302
Zr 1.0647 1.5749 0.8302
Zr -1.5749 2.0851 2.4906
Zr 2.0851 1.5749 4.1510
Mo 3.1498 0.0000 1.6604
Mo 0.0000 0.0000 3.3208
H 0.0000 0.0000 0.0000
H 0.0000 3.1498 1.6604
! Uncorrected energy (eV per atom): -7.655
! Symmetry: I-42d, No. 122
! Distance to the lowest polymorph of the same formula (meV per atom): 166
! Magnetic moment (μB/cell): 0.00

=====

(9)
! Zr2MoH, relaxed, DFT PBE; values from VASP
&SYSTEM
  ibrav = 0, nat = 4, ntyp = 3
/
ATOMIC_SPECIES
Zr 91.22 Zr.upf
Mo 95.94 Mo.upf
H 1.01 H.upf
CELL_PARAMETERS angstrom
0.0000 3.2388 3.2388
3.2388 0.0000 3.2388
3.2388 3.2388 0.0000
ATOMIC_POSITIONS angstrom
Zr 1.6194 1.6194 1.6194
Zr 4.8583 4.8583 4.8583
Mo 0.0000 0.0000 0.0000
H 3.2388 3.2388 3.2388
! Uncorrected energy (eV per atom): -7.367
! Symmetry: Fm-3m, No. 225
! Distance to the lowest polymorph of the same formula (meV per atom): 454
! Magnetic moment (μB/cell): 0.00

=====

(10)
! Zr2MoH8, relaxed, DFT PBE; values from VASP
&SYSTEM
  ibrav = 0, nat = 11, ntyp = 3
/
ATOMIC_SPECIES
Zr 91.22 Zr.upf
Mo 95.94 Mo.upf
H 1.01 H.upf
CELL_PARAMETERS angstrom
5.7750 -1.6532 0.0000
5.7750 1.6532 0.0000
-1.7220 0.0000 4.2868
ATOMIC_POSITIONS angstrom
Zr 1.6002 0.0000 0.6590
Zr 8.2278 0.0000 3.6278
Mo 4.9140 0.0000 2.1434
H -0.4238 0.0000 1.2309
H 1.2323 0.0000 3.4819
H 3.0004 0.0000 2.3636
H 4.6033 0.0000 0.3488
H 5.2247 0.0000 3.9380
H 6.8276 0.0000 1.9232
H 8.5957 0.0000 0.8050
H 10.2517 0.0000 3.0559
! Uncorrected energy (eV per atom): -5.203
! Symmetry: C2/m, No. 12
! Magnetic moment (μB/cell): 0.00

=====

(11)
! Zr2MoH6, relaxed, DFT PBE; values from VASP
&SYSTEM
  ibrav = 0, nat = 9, ntyp = 3
/
ATOMIC_SPECIES
Zr 91.22 Zr.upf
Mo 95.94 Mo.upf
H 1.01 H.upf
CELL_PARAMETERS angstrom
5.2586 -2.3017 0.0000
5.2586 2.3017 0.0000
-1.0281 0.0000 3.1375
ATOMIC_POSITIONS angstrom
Zr 1.5387 0.0000 0.5091
Zr 7.9504 0.0000 2.6283
Mo 4.7446 0.0000 1.5687
H 3.2263 1.0753 1.0669
H 5.2586 1.0203 0.0000
H 6.2629 1.0753 2.0705
H 3.2263 -1.0753 1.0669
H 5.2586 -1.0203 0.0000
H 6.2629 -1.0753 2.0705
! Uncorrected energy (eV per atom): -5.703
! Symmetry: C2/m, No. 12
! Distance to the lowest polymorph of the same formula (meV per atom): 0
! Magnetic moment (μB/cell): 0.00

=====

(12)
! Zr2MoH6, relaxed, DFT PBE; values from VASP
&SYSTEM
  ibrav = 0, nat = 9, ntyp = 3
/
ATOMIC_SPECIES
Zr 91.22 Zr.upf
Mo 95.94 Mo.upf
H 1.01 H.upf
CELL_PARAMETERS angstrom
4.1261 -2.2991 0.0000
4.1261 2.2991 0.0000
-2.9318 0.0000 4.1903
ATOMIC_POSITIONS angstrom
Zr 1.2824 0.0000 0.9805
Zr 4.0381 0.0000 3.2098
Mo -1.4659 0.0000 2.0952
H 3.2834 1.1136 0.8317
H 0.1719 0.0000 2.9055
H 2.0371 1.1136 3.3586
H 3.2834 -1.1136 0.8317
H 5.1486 0.0000 1.2848
H 2.0371 -1.1136 3.3586
! Uncorrected energy (eV per atom): -5.647
! Symmetry: C2/m, No. 12
! Distance to the lowest polymorph of the same formula (meV per atom): 56
! Magnetic moment (μB/cell): 0.00